No. 1
## Sm4AgPt2 (PBE)

Data for a relaxed structure of Sm4AgPt2.

Computed properties:
Density   9.9 Mg/m³
D(E_F)   7.07 states/eV/f.u.
Total moment   0.0 μB/f.u.
Electronic total energy   -5.58 eV/atom

```
Sm4AgPt2
1.0
5.714 -4.378 0.000
5.714 4.378 0.000
-5.713 0.000 7.395
Sm Ag Pt
8 2 4
Direct
0.054 0.054 0.350 Sm
0.310 0.519 0.761 Sm
0.481 0.690 0.239 Sm
0.492 0.201 0.261 Sm
0.547 0.047 0.851 Sm
0.799 0.508 0.739 Sm
0.946 0.946 0.650 Sm
0.953 0.453 0.149 Sm
0.070 0.930 0.000 Ag
0.319 0.681 0.500 Ag
0.209 0.330 0.937 Pt
0.522 0.143 0.563 Pt
0.670 0.791 0.063 Pt
0.857 0.478 0.437 Pt
```


No. 2
## PrU2Se6 (PBE)

Data for a relaxed structure of PrU2Se6.

Computed properties:
Formation energy without anion corrections   -1.202 eV per atom
Density   6.3 Mg/m³
D(E_F)   9.12 states/eV/f.u.
Total moment   3.0 μB/f.u.

```
PrU2Se6
1.0
7.045 -2.720 0.000
7.045 2.720 0.000
-5.667 0.000 7.517
Pr U Se
1 2 6
Direct
0.000 0.000 0.000 Pr
0.182 0.182 0.603 U
0.818 0.818 0.397 U
0.042 0.042 0.721 Se
0.264 0.264 0.384 Se
0.366 0.366 0.944 Se
0.634 0.634 0.056 Se
0.736 0.736 0.616 Se
0.958 0.958 0.279 Se
```


Question: Among the records above, which one has the lowest density?
Answer: PrU2Se6